The following is a PBE calculation of an optimized crystal structure of LuPu5, from Alexandria via LeMat-Bulk.

Computed properties:
Spin magnetization   5.695 μB per cell
Formation energy   0.223 eV per atom
Final energy   -12.4735 eV per atom
Symmetry   Cmmm (65)

abc: 8.578 8.578 3.087
angles: 90.00 90.00 142.75
Fractional positions:
Lu  0.000  0.000  0.000
Pu  0.187  0.813  0.500
Pu  0.356  0.644  0.000
Pu  0.500  0.500  0.500
Pu  0.644  0.356  0.000
Pu  0.813  0.187  0.500

The following is a PBE calculation of an optimized crystal structure of DyThCuRh, from Alexandria via LeMat-Bulk.

Computed properties:
Spin magnetization   0.000 μB per cell
Formation energy   -0.600 eV per atom
Final energy   -6.4672 eV per atom
Symmetry   Amm2 (38)

abc: 4.083 6.038 6.038
angles: 37.67 90.00 90.00
Fractional positions:
Dy  0.000  0.000  0.000
Th  0.500  0.726  0.726
Cu  0.500  0.435  0.435
Rh  0.000  0.263  0.263

The following is a PBE calculation of an optimized crystal structure of MgCdPb2, from Alexandria via LeMat-Bulk.

Computed properties:
Spin magnetization   0.000 μB per cell
Formation energy   -0.002 eV per atom
Final energy   -2.4835 eV per atom
Symmetry   I-4m2 (119)

abc: 5.977 5.977 5.977
angles: 134.11 134.11 66.92
Fractional positions:
Mg  0.000  0.000  0.000
Cd  0.750  0.250  0.500
Pb  0.250  0.750  0.500
Pb  0.500  0.500  0.000

The following is a PBE calculation of an optimized crystal structure of Tb4PdRu2, from Alexandria via LeMat-Bulk.

Computed properties:
Spin magnetization   0.000 μB per cell
Formation energy   -0.417 eV per atom
Final energy   -6.4548 eV per atom
Symmetry   I-42d (122)

abc: 7.482 7.482 7.482
angles: 109.13 109.13 110.15
Fractional positions:
Tb  0.003  0.386  0.250
Tb  0.136  0.253  0.750
Tb  0.136  0.753  0.750
Tb  0.247  0.997  0.383
Tb  0.503  0.386  0.250
Tb  0.614  0.864  0.117
Tb  0.614  0.864  0.617
Tb  0.747  0.497  0.883
Pd  0.000  0.000  0.000
Pd  0.750  0.250  0.500
Ru  0.226  0.625  0.101
Ru  0.375  0.476  0.601
Ru  0.524  0.125  0.899
Ru  0.875  0.774  0.399

The following is a PBE calculation of an optimized crystal structure of CdHg5H4, from Alexandria via LeMat-Bulk.

Computed properties:
Spin magnetization   0.000 μB per cell
Final energy   -1.2229 eV per atom
Symmetry   I4mm (107)

abc: 6.396 6.396 6.396
angles: 110.53 110.53 107.38
Fractional positions:
Cd  0.000  0.000  0.000
Hg  0.060  0.060  0.502
Hg  0.060  0.557  0.000
Hg  0.557  0.060  0.000
Hg  0.557  0.557  0.498
Hg  0.584  0.584  0.000
H  0.278  0.594  0.315
H  0.278  0.963  0.685
H  0.594  0.278  0.315
H  0.963  0.278  0.685

The following is a PBE calculation of an optimized crystal structure of PdWBr2, from Alexandria via LeMat-Bulk.

Computed properties:
Spin magnetization   0.567 μB per cell
Formation energy (no corrections)   3.952 eV per formula unit
Final energy   -4.3850 eV per atom
Symmetry   Fm-3m (225)

abc: 4.651 4.651 4.651
angles: 60.00 60.00 60.00
Fractional positions:
Pd  0.000  0.000  0.000
W  0.500  0.500  0.500
Br  0.250  0.250  0.250
Br  0.750  0.750  0.750

The following is a PBE calculation of an optimized crystal structure of RbSiP2O8, from Alexandria via LeMat-Bulk.

Computed properties:
Spin magnetization   1.051 μB per cell
Formation energy (no corrections)   -26.140 eV per formula unit
Final energy   -6.9180 eV per atom
Symmetry   P-3 (147)

abc: 4.803 4.803 8.622
angles: 90.00 90.00 120.00
Fractional positions:
Rb  0.000  0.000  0.000
Si  0.000  0.000  0.500
P  0.333  0.667  0.681
P  0.667  0.333  0.319
O  0.079  0.330  0.621
O  0.251  0.921  0.621
O  0.330  0.251  0.379
O  0.333  0.667  0.857
O  0.667  0.333  0.143
O  0.670  0.749  0.621
O  0.749  0.079  0.379
O  0.921  0.670  0.379

The following is a PBE calculation of an optimized crystal structure of HfSc2Tc2, from Alexandria via LeMat-Bulk.

Computed properties:
Spin magnetization   0.000 μB per cell
Formation energy   -0.073 eV per atom
Final energy   -8.7422 eV per atom
Symmetry   P4/mbm (127)

abc: 7.294 7.294 3.560
angles: 90.00 90.00 90.00
Fractional positions:
Hf  0.000  0.000  0.000
Hf  0.500  0.500  0.000
Sc  0.149  0.351  0.500
Sc  0.351  0.851  0.500
Sc  0.649  0.149  0.500
Sc  0.851  0.649  0.500
Tc  0.154  0.654  0.000
Tc  0.346  0.154  0.000
Tc  0.654  0.846  0.000
Tc  0.846  0.346  0.000